An optimized crystal structure of HfGa2Ni2. Source: Alexandria via LeMat-Bulk, functional GGA-PBE.

Structure (POSCAR):
```
HfGa2Ni2
1.0
-0.3869 3.1499 -0.3083
-1.7983 -0.5830 -3.6995
-9.9084 -0.7338 4.9364
Hf Ga Ni
2 4 4
Cartesian
-3.8643 0.1711 -1.6469
-8.2294 1.6621 2.5755
-9.9944 -0.2829 1.4074
-2.0992 2.1160 -0.4788
-5.7693 0.2549 1.6002
-6.3243 1.5782 -0.6716
-7.8720 -0.1257 0.3498
-4.2216 1.9589 0.5787
-10.1845 -0.0721 3.7994
-1.9092 1.9052 -2.8708
```

Calculated values
For the energy above the most stable polymorph in this dataset, the calculation gives 0.0 meV per atom. Its size of the total moment is 0.0 μB per cell.